Ba2CaUO6 GGA-PBEsol optimized geometry; density = 6.7 Mg/m³; spin magnetization = 0.0 Bohr magnetons per cell; raw formation energy = -3.148 eV/atom; space group = P2_1/c, No. 14
1.0
-5.511 1.402 2.209
-1.605 -5.931 -0.241
2.927 -1.142 8.025
Ba O U Ca
4 12 2 2
direct
0.519 0.493 0.750
0.981 0.993 0.250
0.481 0.507 0.250
0.019 0.007 0.750
0.988 0.573 0.735
0.012 0.427 0.265
0.512 0.073 0.235
0.758 0.214 0.959
0.284 0.256 0.962
0.216 0.756 0.462
0.784 0.244 0.538
0.488 0.927 0.765
0.742 0.714 0.459
0.258 0.286 0.541
0.716 0.744 0.038
0.242 0.786 0.041
0.500 0.000 0.000
0.000 0.500 0.500
0.500 0.000 0.500
0.000 0.500 0.000